No. 1
VASP calculation (GGA-PBE) on a relaxed LuZr2S crystal.

## Properties
E_tot = -27.47 eV per formula unit

a b c (Å): 3.521 3.521 27.153
angles (deg): 90.00 90.00 120.00
Atoms (fractional coordinates):
Lu (0.000, 0.000, 0.000)
Lu (0.333, 0.667, 0.667)
Lu (0.667, 0.333, 0.333)
Zr (0.000, 0.000, 0.113)
Zr (0.000, 0.000, 0.887)
Zr (0.333, 0.667, 0.554)
Zr (0.333, 0.667, 0.779)
Zr (0.667, 0.333, 0.221)
Zr (0.667, 0.333, 0.446)
S (0.000, 0.000, 0.500)
S (0.333, 0.667, 0.167)
S (0.667, 0.333, 0.833)

=====

No. 2
VASP calculation (GGA-PBE) on a relaxed LuSb crystal.

## Properties
E_tot = -9.98 eV per formula unit

a b c (Å): 3.739 3.739 3.739
angles (deg): 90.00 90.00 90.00
Atoms (fractional coordinates):
Lu (0.000, 0.000, 0.000)
Sb (0.500, 0.500, 0.500)

=====

No. 3
VASP calculation (GGA-PBE) on a relaxed LuSb crystal.

## Properties
E_tot = -10.68 eV per formula unit

a b c (Å): 6.097 6.097 6.097
angles (deg): 90.00 90.00 90.00
Atoms (fractional coordinates):
Lu (0.000, 0.000, 0.000)
Lu (0.000, 0.500, 0.500)
Lu (0.500, 0.000, 0.500)
Lu (0.500, 0.500, 0.000)
Sb (0.000, 0.000, 0.500)
Sb (0.000, 0.500, 0.000)
Sb (0.500, 0.000, 0.000)
Sb (0.500, 0.500, 0.500)

=====

No. 4
VASP calculation (GGA-PBE) on a relaxed Lu7Sb3 crystal.

## Properties
E_tot = -50.52 eV per formula unit

a b c (Å): 11.983 11.983 11.983
angles (deg): 97.79 97.79 136.78
Atoms (fractional coordinates):
Lu (0.018, 0.664, 0.682)
Lu (0.031, 0.858, 0.500)
Lu (0.117, 0.123, 0.241)
Lu (0.123, 0.883, 0.006)
Lu (0.142, 0.642, 0.172)
Lu (0.164, 0.518, 0.682)
Lu (0.250, 0.250, 0.000)
Lu (0.250, 0.750, 0.500)
Lu (0.336, 0.018, 0.354)
Lu (0.358, 0.531, 0.500)
Lu (0.377, 0.383, 0.759)
Lu (0.383, 0.623, 0.006)
Lu (0.469, 0.969, 0.828)
Lu (0.482, 0.164, 0.646)
Lu (0.518, 0.836, 0.354)
Lu (0.531, 0.031, 0.172)
Lu (0.617, 0.377, 0.994)
Lu (0.623, 0.617, 0.241)
Lu (0.642, 0.469, 0.500)
Lu (0.664, 0.982, 0.646)
Lu (0.750, 0.250, 0.500)
Lu (0.750, 0.750, 0.000)
Lu (0.836, 0.482, 0.318)
Lu (0.858, 0.358, 0.828)
Lu (0.877, 0.117, 0.994)
Lu (0.883, 0.877, 0.759)
Lu (0.969, 0.142, 0.500)
Lu (0.982, 0.336, 0.318)
Sb (0.053, 0.250, 0.803)
Sb (0.221, 0.721, 0.941)
Sb (0.250, 0.053, 0.803)
Sb (0.250, 0.447, 0.197)
Sb (0.279, 0.221, 0.500)
Sb (0.447, 0.250, 0.197)
Sb (0.553, 0.750, 0.803)
Sb (0.721, 0.779, 0.500)
Sb (0.750, 0.553, 0.803)
Sb (0.750, 0.947, 0.197)
Sb (0.779, 0.279, 0.059)
Sb (0.947, 0.750, 0.197)